# 1
Computed, not measured: a relaxed structure of ErZrSc6 at the PBE-GGA level of DFT.

Lattice parameters (Å, degrees): 5.1821 6.6651 6.6651 59.98 90.00 90.00
Fractional coordinates of all 8 atoms:
Er 0.0000 0.0000 0.0000
Zr 0.5000 0.6673 0.6673
Sc 0.0000 0.5032 0.9942
Sc 0.0000 0.5038 0.5038
Sc 0.0000 0.9942 0.5032
Sc 0.5000 0.1695 0.1695
Sc 0.5000 0.1702 0.6612
Sc 0.5000 0.6612 0.1702

Output
Its space group is No. 38. The value obtained for the theoretical density is 4.4 g/cm³. The formation energy comes out at 0.031 eV/f.u. Its total energy is -51.1 eV for the cell shown.

***

# 2
Computed, not measured: a relaxed structure of CaTa2Mo at the PBE-GGA level of DFT.

Lattice parameters (Å, degrees): 5.8128 5.8128 2.7618 100.45 100.45 117.86
Fractional coordinates of all 4 atoms:
Ca 0.0000 0.0000 0.0000
Ta 0.0000 0.5000 0.5000
Ta 0.5000 0.0000 0.5000
Mo 0.5000 0.5000 0.0000

Output
Its space group is No. 12. The value obtained for the theoretical density is 10.7 g/cm³. The formation energy comes out at 2.507 eV/f.u. Its total energy is -34.0 eV for the cell shown.

***

# 3
Computed, not measured: a relaxed structure of CeCu9Ag2 at the PBE-GGA level of DFT.

Lattice parameters (Å, degrees): 8.5596 8.5596 8.5596 34.09 34.09 34.09
Fractional coordinates of all 12 atoms:
Ce 0.0000 0.0000 0.0000
Cu 0.0825 0.5862 0.5862
Cu 0.3333 0.3333 0.3333
Cu 0.4138 0.4138 0.9175
Cu 0.4138 0.9175 0.4138
Cu 0.5000 0.5000 0.5000
Cu 0.5862 0.0825 0.5862
Cu 0.5862 0.5862 0.0825
Cu 0.6667 0.6667 0.6667
Cu 0.9175 0.4138 0.4138
Ag 0.1455 0.1455 0.1455
Ag 0.8545 0.8545 0.8545

Output
Its space group is No. 166. The value obtained for the theoretical density is 8.8 g/cm³. The formation energy comes out at -0.698 eV/f.u. Its total energy is -49.2 eV for the cell shown.

***

# 4
Computed, not measured: a relaxed structure of Sc3CdCo at the PBE-GGA level of DFT.

Lattice parameters (Å, degrees): 5.2202 5.2202 5.2202 90.00 90.00 90.00
Fractional coordinates of all 5 atoms:
Sc 0.0000 0.0000 0.5000
Sc 0.0000 0.5000 0.0000
Sc 0.5000 0.0000 0.0000
Cd 0.0000 0.0000 0.0000
Co 0.5000 0.5000 0.5000

Output
Its space group is No. 221. The value obtained for the theoretical density is 3.6 g/cm³. The formation energy comes out at 5.154 eV/f.u. Its total energy is -21.9 eV for the cell shown. For the excess energy over the best structure of this formula in the dataset, the calculation gives 1.2774 eV per atom.

***

# 5
Computed, not measured: a relaxed structure of Ti3PtC at the PBE-GGA level of DFT.

Lattice parameters (Å, degrees): 5.8947 5.8947 8.2546 91.53 91.53 30.17
Fractional coordinates of all 10 atoms:
Ti 0.0000 0.0000 0.0000
Ti 0.0001 0.0001 0.4175
Ti 0.2539 0.2539 0.9408
Ti 0.5911 0.5911 0.7258
Ti 0.6788 0.6788 0.2312
Ti 0.8695 0.8695 0.6911
Pt 0.2170 0.2170 0.5118
Pt 0.3796 0.3796 0.2292
C 0.4247 0.4247 0.8413
C 0.6364 0.6364 0.9827

Output
Its space group is No. 8. The value obtained for the theoretical density is 8.1 g/cm³. The formation energy comes out at -3.312 eV/f.u. Its total energy is -84.5 eV for the cell shown. For the excess energy over the best structure of this formula in the dataset, the calculation gives 0.1623 eV per atom.

***

# 6
Computed, not measured: a relaxed structure of AsWSe at the PBE-GGA level of DFT.

Lattice parameters (Å, degrees): 4.6053 4.6053 2.8891 90.00 90.00 120.00
Fractional coordinates of all 3 atoms:
As 0.0000 0.0000 0.0000
W 0.3333 0.6667 0.8061
Se 0.6667 0.3333 0.6763

Output
Its raw formation energy is 0.5179 eV/atom. Its space group is No. 156. The value obtained for the theoretical density is 10.6 g/cm³. Its total energy is -19.5 eV for the cell shown. For the excess energy over the best structure of this formula in the dataset, the calculation gives 0.6388 eV per atom.